Computed, not measured: Ta5Mo3 at its PBEsol-relaxed geometry at the meta-GGA SCAN level of DFT.

Cell lengths 4.5448, 4.5448, 6.4241 Å; angles 90.00, 90.00, 90.00 degrees
Fractional coordinates of all 8 atoms:
Ta 0.0000 0.0000 0.0000
Ta 0.0000 0.0000 0.5000
Ta 0.0000 0.5000 0.2452
Ta 0.5000 0.0000 0.7548
Ta 0.5000 0.5000 0.5000
Mo 0.0000 0.5000 0.7523
Mo 0.5000 0.0000 0.2477
Mo 0.5000 0.5000 0.0000

Output
Formation enthalpy at 0 K: -0.10 eV per atom
Space group: P-4m2
M_tot: 0.0 μB per formula unit
Energy above the lowest structure with this stoichiometry: 0.44 eV/f.u.

Computed, not measured: BeGeTe2 at its PBEsol-relaxed geometry at the meta-GGA SCAN level of DFT.

Cell lengths 7.1313, 7.1313, 7.1313 Å; angles 126.98, 126.98, 78.28 degrees
Fractional coordinates of all 8 atoms:
Be 0.0000 0.0000 0.0000
Be 0.7500 0.2500 0.5000
Ge 0.2500 0.7500 0.5000
Ge 0.5000 0.5000 0.0000
Te 0.0648 0.6250 0.9398
Te 0.3750 0.3148 0.4398
Te 0.6852 0.1250 0.0602
Te 0.8750 0.9352 0.5602

Output
Space group: I-42d
M_tot: 0.0 μB per formula unit
Uncorrected formation energy: -0.03 eV per atom

Q: Which value of M_tot does entry 1 give?
A: 0.0 μB per formula unit

Q: Which formula does entry 2 have?
A: BeGeTe2

Q: Which value of M_tot does entry 1 give?
A: 0.0 μB per formula unit